Pm6Tm8Pu GGA-PBE optimized geometry; ΔH_f (0 K) = 0.12 eV per atom
1.0
7.728 0.113 3.726
2.387 7.351 3.726
0.154 0.113 8.578
Pm Tm Pu
6 8 1
Cartesian
2.165 4.045 4.333
8.216 6.702 10.129
4.758 1.703 3.778
2.053 0.876 5.902
8.104 3.533 11.699
5.511 5.875 12.253
4.070 6.594 6.678
2.681 5.352 9.541
6.198 0.984 9.353
2.930 1.945 9.606
7.339 5.633 6.425
4.352 3.211 6.793
5.917 4.367 9.238
7.588 2.226 6.490
0.000 0.000 0.000